This record from Alexandria describes a crystal of LaTlAg relaxed with PBEsol. The functional is SCAN.

Geometry as extended XYZ:
```
3
Lattice="-1.789 1.789 5.851 1.789 -1.789 5.851 1.789 1.789 -5.851" Properties=species:S:1:pos:R:3 pbc="T T T"
La 0.000 0.000 0.000
Tl 0.000 0.000 3.589
Ag 0.000 0.000 7.871
```

Output
The size of the total moment comes out at 0.00 μB per cell. The density of states at the Fermi level is 2.15 states/eV/f.u. The formation energy from the elements comes out at -83 kJ/mol of formula units.